First-principles (PBE) data for crystalline Ru5C4 at its relaxed geometry, as listed in Alexandria via LeMat-Bulk.

```
Ru5C4
1.0
6.0165 0.0000 0.0000
-3.0083 5.2105 0.0000
0.0000 0.0000 6.0392
Ru C
10 8
direct
0.0000 0.2512 0.2500 Ru
0.0000 0.7488 0.7500 Ru
0.2512 0.0000 0.2500 Ru
0.2512 0.2512 0.7500 Ru
0.3333 0.6667 0.0000 Ru
0.3333 0.6667 0.5000 Ru
0.6667 0.3333 0.0000 Ru
0.6667 0.3333 0.5000 Ru
0.7488 0.0000 0.7500 Ru
0.7488 0.7488 0.2500 Ru
0.0000 0.0000 0.0000 C
0.0000 0.0000 0.5000 C
0.0000 0.4196 0.7500 C
0.0000 0.5804 0.2500 C
0.4196 0.0000 0.7500 C
0.4196 0.4196 0.2500 C
0.5804 0.0000 0.2500 C
0.5804 0.5804 0.7500 C
```

mass density	9.7	g/cm3
magnetization	0.00	Bohr magnetons per cell
excess energy over the best structure of this formula in the dataset	0.000	eV/atom
total energy	-8.49	eV/atom
energy relative to the elements	0.76	eV/atom